No. 1
Entry from the Open Quantum Materials Database: a relaxed HoAuSO crystal (PBE).

a b c (Å): 5.604 9.112 5.691
angles (deg): 90.00 90.00 90.00
Space group Pca2_1 (No. 29)
One atom of each set of equivalent atoms:
1 Ho 0.014 0.113 0.000 (multiplicity 4)
2 Au 0.218 0.637 0.177 (multiplicity 4)
3 S 0.087 0.338 0.395 (multiplicity 4)
4 O 0.248 0.994 0.745 (multiplicity 4)

Calculated values
For the relative energy among the computed polymorphs, the calculation gives 0.36 eV/f.u.

=====

No. 2
Entry from the Open Quantum Materials Database: a relaxed Ga2Fe crystal (PBE).

a b c (Å): 7.171 7.171 7.171
angles (deg): 90.00 90.00 90.00
Space group Fd-3m (No. 227, origin choice 2)
One atom of each set of equivalent atoms:
1 Ga 0.000 0.000 0.000 (multiplicity 16)
2 Fe 0.125 0.125 0.625 (multiplicity 8)

Calculated values
Its total energy is -4.37 eV/atom.

=====

No. 3
Entry from the Open Quantum Materials Database: a relaxed ErSbN2O crystal (PBE).

a b c (Å): 5.654 3.879 5.788
angles (deg): 90.00 90.00 90.00
Space group Pmma (No. 51)
One atom of each set of equivalent atoms:
1 Er 0.250 0.000 0.214 (multiplicity 2)
2 Sb 0.250 0.500 0.735 (multiplicity 2)
3 N 0.000 0.500 0.500 (multiplicity 2)
4 N 0.250 0.000 0.825 (multiplicity 2)
5 O 0.000 0.500 0.000 (multiplicity 2)

Calculated values
Its total energy is -6.73 eV/atom.

=====

No. 4
Entry from the Open Quantum Materials Database: a relaxed YCuBPt crystal (PBE).

a b c (Å): 6.315 6.315 6.315
angles (deg): 90.00 90.00 90.00
Space group F-43m (No. 216)
One atom of each set of equivalent atoms:
1 Y 0.000 0.000 0.000 (multiplicity 4)
2 Cu 0.250 0.250 0.750 (multiplicity 4)
3 B 0.000 0.000 0.500 (multiplicity 4)
4 Pt 0.250 0.250 0.250 (multiplicity 4)

Calculated values
For the relative energy among the computed polymorphs, the calculation gives 0.28 eV/f.u.

=====

No. 5
Entry from the Open Quantum Materials Database: a relaxed CsLiLu crystal (PBE).

a b c (Å): 8.203 8.203 8.203
angles (deg): 90.00 90.00 90.00
Space group F-43m (No. 216)
One atom of each set of equivalent atoms:
1 Cs 0.000 0.000 0.000 (multiplicity 4)
2 Li 0.250 0.250 0.250 (multiplicity 4)
3 Lu 0.000 0.000 0.500 (multiplicity 4)

Calculated values
For the relative energy among the computed polymorphs, the calculation gives 0.00 eV/f.u.

=====

No. 6
Entry from the Open Quantum Materials Database: a relaxed ErPu crystal (PBE).

a b c (Å): 6.590 6.590 6.590
angles (deg): 90.00 90.00 90.00
Space group F-43m (No. 216)
One atom of each set of equivalent atoms:
1 Er 0.000 0.000 0.000 (multiplicity 4)
2 Pu 0.250 0.250 0.750 (multiplicity 4)

Calculated values
For the relative energy among the computed polymorphs, the calculation gives 3.42 eV/f.u.

=====

No. 7
Entry from the Open Quantum Materials Database: a relaxed HfBeTc2 crystal (PBE).

a b c (Å): 6.191 6.191 6.191
angles (deg): 90.00 90.00 90.00
Space group F-43m (No. 216)
One atom of each set of equivalent atoms:
1 Hf 0.000 0.000 0.000 (multiplicity 4)
2 Be 0.250 0.250 0.750 (multiplicity 4)
3 Tc 0.000 0.000 0.500 (multiplicity 4)
4 Tc 0.250 0.250 0.250 (multiplicity 4)

Calculated values
Its total energy is -8.63 eV/atom.

=====

No. 8
Entry from the Open Quantum Materials Database: a relaxed NaCuPtSe2S crystal (PBE).

a b c (Å): 3.752 12.685 9.828
angles (deg): 90.00 90.00 90.00
Space group Cmcm (No. 63)
One atom of each set of equivalent atoms:
1 Na 0.000 0.241 0.250 (multiplicity 4)
2 Cu 0.000 0.043 0.750 (multiplicity 4)
3 Pt 0.000 0.500 0.000 (multiplicity 4)
4 Se 0.000 0.134 0.533 (multiplicity 8)
5 S 0.000 0.440 0.750 (multiplicity 4)

Calculated values
Its total energy is -4.11 eV/atom.

=====

No. 9
Entry from the Open Quantum Materials Database: a relaxed LuCuGeTe3 crystal (PBE).

a b c (Å): 12.354 4.316 12.397
angles (deg): 90.00 90.00 90.00
Space group Pnma (No. 62)
One atom of each set of equivalent atoms:
1 Lu 0.034 0.250 0.191 (multiplicity 4)
2 Cu 0.233 0.750 0.293 (multiplicity 4)
3 Ge 0.221 0.250 0.414 (multiplicity 4)
4 Te 0.037 0.750 0.367 (multiplicity 4)
5 Te 0.097 0.250 0.939 (multiplicity 4)
6 Te 0.217 0.750 0.685 (multiplicity 4)

Calculated values
For the relative energy among the computed polymorphs, the calculation gives 0.15 eV/f.u.

=====

No. 10
Entry from the Open Quantum Materials Database: a relaxed ErGaNi crystal (PBE).

a b c (Å): 6.412 6.412 6.412
angles (deg): 90.00 90.00 90.00
Space group F-43m (No. 216)
One atom of each set of equivalent atoms:
1 Er 0.000 0.000 0.000 (multiplicity 4)
2 Ga 0.250 0.250 0.750 (multiplicity 4)
3 Ni 0.250 0.250 0.250 (multiplicity 4)

Calculated values
Its total energy is -4.18 eV/atom.

=====

No. 11
Entry from the Open Quantum Materials Database: a relaxed Lu3AsN2 crystal (PBE).

a b c (Å): 3.4703 3.4703 9.1793
angles (deg): 90.00 90.00 120.00
Space group P-3m1 (No. 164)
One atom of each set of equivalent atoms:
1 Lu 0.0000 0.0000 0.0000 (multiplicity 1)
2 Lu 0.3333 0.6667 0.7134 (multiplicity 2)
3 As 0.0000 0.0000 0.5000 (multiplicity 1)
4 N 0.3333 0.6667 0.1497 (multiplicity 2)

Calculated values
For the relative energy among the computed polymorphs, the calculation gives 0.00 eV/f.u.

=====

No. 12
Entry from the Open Quantum Materials Database: a relaxed NbTlCdTe3 crystal (PBE).

a b c (Å): 8.622 3.997 11.172
angles (deg): 90.00 112.49 90.00
Space group P2_1/m (No. 11)
One atom of each set of equivalent atoms:
1 Nb 0.047 0.250 0.338 (multiplicity 2)
2 Tl 0.492 0.250 0.223 (multiplicity 2)
3 Cd 0.066 0.750 0.130 (multiplicity 2)
4 Te 0.165 0.250 0.618 (multiplicity 2)
5 Te 0.206 0.750 0.932 (multiplicity 2)
6 Te 0.310 0.750 0.393 (multiplicity 2)

Calculated values
For the relative energy among the computed polymorphs, the calculation gives 0.00 eV/f.u.

=====

No. 13
Entry from the Open Quantum Materials Database: a relaxed HfBeNO crystal (PBE).

a b c (Å): 3.248 3.248 7.211
angles (deg): 90.00 90.00 90.00
Space group P4/nmm (No. 129, origin choice 2)
One atom of each set of equivalent atoms:
1 Hf 0.250 0.250 0.181 (multiplicity 2)
2 Be 0.250 0.750 0.500 (multiplicity 2)
3 N 0.250 0.250 0.640 (multiplicity 2)
4 O 0.250 0.750 0.000 (multiplicity 2)

Calculated values
For the relative energy among the computed polymorphs, the calculation gives 3.01 eV/f.u.

=====

No. 14
Entry from the Open Quantum Materials Database: a relaxed LaTe6Pd2 crystal (PBE).

a b c (Å): 7.4334 7.4334 18.2879
angles (deg): 90.00 90.00 120.00
Space group R-3m (No. 166, hexagonal axes)
One atom of each set of equivalent atoms:
1 La 0.0000 0.0000 0.0000 (multiplicity 3)
2 Te 0.0479 0.5240 0.2380 (multiplicity 18)
3 Pd 0.0000 0.0000 0.2500 (multiplicity 6)

Calculated values
Its total energy is -3.34 eV/atom.

=====

No. 15
Entry from the Open Quantum Materials Database: a relaxed SrAlHgAu crystal (PBE).

a b c (Å): 7.248 7.248 7.248
angles (deg): 90.00 90.00 90.00
Space group F-43m (No. 216)
One atom of each set of equivalent atoms:
1 Sr 0.000 0.000 0.000 (multiplicity 4)
2 Al 0.250 0.250 0.750 (multiplicity 4)
3 Hg 0.000 0.000 0.500 (multiplicity 4)
4 Au 0.250 0.250 0.250 (multiplicity 4)

Calculated values
For the relative energy among the computed polymorphs, the calculation gives 0.58 eV/f.u.

=====

No. 16
Entry from the Open Quantum Materials Database: a relaxed LaAlInAu2 crystal (PBE).

a b c (Å): 4.525 4.525 11.056
angles (deg): 90.00 90.00 90.00
Space group P4/nmm (No. 129, origin choice 2)
One atom of each set of equivalent atoms:
1 La 0.250 0.250 0.237 (multiplicity 2)
2 Al 0.250 0.250 0.883 (multiplicity 2)
3 In 0.250 0.750 0.500 (multiplicity 2)
4 Au 0.250 0.250 0.658 (multiplicity 2)
5 Au 0.250 0.750 0.000 (multiplicity 2)

Calculated values
Its total energy is -4.29 eV/atom.

=====

No. 17
Entry from the Open Quantum Materials Database: a relaxed PrPAuO crystal (PBE).

a b c (Å): 3.906 7.578 6.097
angles (deg): 90.00 90.00 90.00
Space group Pmc2_1 (No. 26)
One atom of each set of equivalent atoms:
1 Pr 0.000 0.231 0.000 (multiplicity 2)
2 P 0.000 0.155 0.500 (multiplicity 2)
3 Au 0.500 0.329 0.501 (multiplicity 2)
4 O 0.500 0.371 0.003 (multiplicity 2)

Calculated values
For the relative energy among the computed polymorphs, the calculation gives 1.41 eV/f.u.

=====

No. 18
Entry from the Open Quantum Materials Database: a relaxed Hg2Pt3Se2 crystal (PBE).

a b c (Å): 5.8271 5.8271 14.7388
angles (deg): 90.00 90.00 120.00
Space group R-3m (No. 166, hexagonal axes)
One atom of each set of equivalent atoms:
1 Hg 0.0000 0.0000 0.0000 (multiplicity 3)
2 Hg 0.0000 0.0000 0.5000 (multiplicity 3)
3 Pt 0.0000 0.5000 0.0000 (multiplicity 9)
4 Se 0.0000 0.0000 0.2125 (multiplicity 6)

Calculated values
Its total energy is -3.85 eV/atom.

=====

No. 19
Entry from the Open Quantum Materials Database: a relaxed LuScAl2 crystal (PBE).

a b c (Å): 6.923 6.923 6.923
angles (deg): 90.00 90.00 90.00
Space group F-43m (No. 216)
One atom of each set of equivalent atoms:
1 Lu 0.000 0.000 0.000 (multiplicity 4)
2 Sc 0.250 0.250 0.750 (multiplicity 4)
3 Al 0.000 0.000 0.500 (multiplicity 4)
4 Al 0.250 0.250 0.250 (multiplicity 4)

Calculated values
Its total energy is -4.59 eV/atom.

=====

No. 20
Entry from the Open Quantum Materials Database: a relaxed LuMgTlS3 crystal (PBE).

a b c (Å): 10.619 4.011 14.277
angles (deg): 90.00 90.00 90.00
Space group Pnma (No. 62)
One atom of each set of equivalent atoms:
1 Lu 0.014 0.250 0.245 (multiplicity 4)
2 Mg 0.236 0.250 0.713 (multiplicity 4)
3 Tl 0.229 0.750 0.495 (multiplicity 4)
4 S 0.038 0.250 0.632 (multiplicity 4)
5 S 0.070 0.750 0.127 (multiplicity 4)
6 S 0.237 0.750 0.811 (multiplicity 4)

Calculated values
Its total energy is -4.85 eV/atom.